Material: CaAcDy2Se4
Method: DFT, GGA-PBE
State: optimized geometry

The structure belongs to space group P2/m (No. 10); the cell edges are 7.3075, 4.1752 and 7.3201 Å and the angles 90.00°, 108.96° and 90.00°. Symmetry generates all atoms from Ca at (0.0000, 0.0000, 0.0000), Ac at (0.5000, 0.5000, 0.0000), Dy at (0.0000, 0.5000, 0.5000), Dy at (0.5000, 0.0000, 0.5000), Se at (0.2327, 0.0000, 0.7303) and Se at (0.2451, 0.5000, 0.2631).

As for the uncorrected formation energy: -1.8160 eV/atom.

Material: Ca2SmGa6
Method: DFT, GGA-PBE
State: optimized geometry

The structure belongs to space group P6/mmm (No. 191); the cell edges are 7.4584, 7.4584 and 4.2249 Å and the angles 90.00°, 90.00° and 120.00°. Symmetry generates all atoms from Ca at (0.3333, 0.6667, 0.0000), Sm at (0.0000, 0.0000, 0.0000) and Ga at (0.0000, 0.3323, 0.5000).

The calculation puts the formation energy at -0.542 eV per atom. The value obtained for the excess energy over the best structure of this formula in the dataset is 0.00 eV/f.u.

Material: Tl12Pt3Cl5
Method: DFT, GGA-PBE
State: optimized geometry

The structure belongs to space group Ia-3d (No. 230); the cell edges are 17.7658, 17.7658 and 17.7658 Å and the angles 90.00°, 90.00° and 90.00°. Symmetry generates all atoms from Tl at (0.0024, 0.0670, 0.6600), Pt at (0.0000, 0.2500, 0.1250), Cl at (0.0000, 0.0000, 0.0000) and Cl at (0.0000, 0.2500, 0.3750).

As for the uncorrected formation energy: -0.2759 eV/atom.

Material: Ag2Te2Cl
Method: DFT, GGA-PBE
State: optimized geometry

The structure belongs to space group P4/mbm (No. 127); the cell edges are 8.8480, 8.8480 and 3.1312 Å and the angles 90.00°, 90.00° and 90.00°. Symmetry generates all atoms from Ag at (0.1538, 0.3462, 0.0000), Te at (0.1427, 0.6427, 0.5000) and Cl at (0.0000, 0.0000, 0.0000).

As for the uncorrected formation energy: 0.0615 eV/atom. The value obtained for the excess energy over the best structure of this formula in the dataset is 1.13 eV/f.u.

Material: PrSmGa2
Method: DFT, GGA-PBE
State: optimized geometry

The structure belongs to space group P4/mmm (No. 123); the cell edges are 3.6922, 3.6922 and 7.3607 Å and the angles 90.00°, 90.00° and 90.00°. Symmetry generates all atoms from Pr at (0.0000, 0.0000, 0.0000), Sm at (0.0000, 0.0000, 0.5000) and Ga at (0.5000, 0.5000, 0.2592).

The calculation puts the formation energy at -0.562 eV per atom. The value obtained for the excess energy over the best structure of this formula in the dataset is 0.11 eV/f.u.

Material: CoSn3H
Method: DFT, GGA-PBE
State: optimized geometry

The structure belongs to space group Pm-3m (No. 221); the cell edges are 4.5608, 4.5608 and 4.5608 Å and the angles 90.00°, 90.00° and 90.00°. Symmetry generates all atoms from Co at (0.0000, 0.0000, 0.0000), Sn at (0.0000, 0.5000, 0.5000) and H at (0.5000, 0.5000, 0.5000).

The value obtained for the excess energy over the best structure of this formula in the dataset is 0.79 eV/f.u.

Material: BeCrSi2
Method: DFT, GGA-PBE
State: optimized geometry

The structure belongs to space group P4mm (No. 99); the cell edges are 3.1465, 3.1465 and 4.6771 Å and the angles 90.00°, 90.00° and 90.00°. Symmetry generates all atoms from Be at (0.0000, 0.0000, 0.0000), Cr at (0.5000, 0.5000, 0.2616), Si at (0.0000, 0.0000, 0.4855) and Si at (0.5000, 0.5000, 0.7681).

As for the uncorrected formation energy: -0.1103 eV/atom.

Material: AlHg2PC
Method: DFT, GGA-PBE
State: optimized geometry

The structure belongs to space group P4/mmm (No. 123); the cell edges are 5.0026, 5.0026 and 3.7189 Å and the angles 90.00°, 90.00° and 90.00°. Symmetry generates all atoms from Al at (0.0000, 0.0000, 0.0000), Hg at (0.0000, 0.5000, 0.5000), P at (0.5000, 0.5000, 0.0000) and C at (0.0000, 0.0000, 0.5000).

The calculation puts the formation energy at 0.860 eV per atom.

Material: TlCoW3
Method: DFT, GGA-PBE
State: optimized geometry

The structure belongs to space group Pm-3m (No. 221); the cell edges are 4.5216, 4.5216 and 4.5216 Å and the angles 90.00°, 90.00° and 90.00°. Symmetry generates all atoms from Tl at (0.0000, 0.0000, 0.0000), Co at (0.5000, 0.5000, 0.5000) and W at (0.0000, 0.5000, 0.5000).

The calculation puts the formation energy at 1.436 eV per atom. The value obtained for the excess energy over the best structure of this formula in the dataset is 0.00 eV/f.u.

Material: KTaMn
Method: DFT, GGA-PBE
State: optimized geometry

The structure belongs to space group P3m1 (No. 156); the cell edges are 3.2107, 3.2107 and 7.7943 Å and the angles 90.00°, 90.00° and 120.00°. Symmetry generates all atoms from K at (0.0000, 0.0000, 0.0000), Ta at (0.3333, 0.6667, 0.5736) and Mn at (0.6667, 0.3333, 0.3755).

The calculation puts the formation energy at 0.935 eV per atom. The value obtained for the excess energy over the best structure of this formula in the dataset is 0.31 eV/f.u.

Material: Pm4Pr10Tm
Method: DFT, GGA-PBE
State: optimized geometry

The structure belongs to space group I4/m (No. 87); the cell edges are 12.5117, 12.5117 and 7.9080 Å and the angles 90.00°, 90.00° and 90.00°. Symmetry generates all atoms from Pm at (0.1005, 0.7008, 0.0000), Pr at (0.0000, 0.5000, 0.2500), Pr at (0.0987, 0.1987, 0.2522) and Tm at (0.0000, 0.0000, 0.5000).

The calculation puts the formation energy at 0.689 eV per atom.

Material: GeRh
Method: DFT, GGA-PBE
State: optimized geometry

The structure belongs to space group F-43m (No. 216); the cell edges are 5.5076, 5.5076 and 5.5076 Å and the angles 90.00°, 90.00° and 90.00°. Symmetry generates all atoms from Ge at (0.0000, 0.0000, 0.0000) and Rh at (0.2500, 0.2500, 0.7500).

The calculation puts the formation energy at -0.039 eV per atom.